Compound: KMnSBr2
Source: Alexandria
Functional: PBE-GGA
Structure: relaxed

Results
- size of the total moment (μB per cell) = 4.00
- DOS(E_F) (states/eV per atom) = 0.682
- raw formation energy (eV/atom) = -0.868
- total DFT energy (no corrections) (eV per atom) = -4.416

Cell: 5.433 5.433 4.563 Å, 90.00 90.00 90.00°
Fractional coordinates of all 5 atoms:
K: 0.000 0.000 0.000
Mn: 0.500 0.500 0.500
S: 0.500 0.500 0.000
Br: 0.000 0.500 0.500
Br: 0.500 0.000 0.500


Compound: Sb2Mo
Source: Alexandria
Functional: PBE-GGA
Structure: relaxed

Results
- size of the total moment (μB per cell) = 8.84
- DOS(E_F) (states/eV per atom) = 0.896
- raw formation energy (eV/atom) = 0.509
- total DFT energy (no corrections) (eV per atom) = -5.850

Cell: 6.777 6.777 6.777 Å, 90.00 90.00 90.00°
Fractional coordinates of all 12 atoms:
Sb: 0.126 0.126 0.126
Sb: 0.126 0.374 0.626
Sb: 0.374 0.626 0.126
Sb: 0.374 0.874 0.626
Sb: 0.626 0.126 0.374
Sb: 0.626 0.374 0.874
Sb: 0.874 0.626 0.374
Sb: 0.874 0.874 0.874
Mo: 0.000 0.000 0.500
Mo: 0.000 0.500 0.000
Mo: 0.500 0.000 0.000
Mo: 0.500 0.500 0.500


Compound: Pr2BeRhO6
Source: Alexandria
Functional: PBE-GGA
Structure: relaxed

Results
- size of the total moment (μB per cell) = 1.84
- DOS(E_F) (states/eV per atom) = 0.626
- raw formation energy (eV/atom) = -2.315
- total DFT energy (no corrections) (eV per atom) = -7.353

Cell: 5.452 5.448 9.376 Å, 90.00 125.34 90.00°
Fractional coordinates of all 20 atoms:
Pr: 0.242 0.038 0.249
Pr: 0.242 0.462 0.749
Pr: 0.758 0.538 0.251
Pr: 0.758 0.962 0.751
Be: 0.000 0.000 0.500
Be: 0.000 0.500 0.000
Rh: 0.500 0.000 0.000
Rh: 0.500 0.500 0.500
O: 0.170 0.227 0.961
O: 0.170 0.273 0.461
O: 0.236 0.710 0.963
O: 0.236 0.790 0.463
O: 0.310 0.009 0.739
O: 0.310 0.491 0.239
O: 0.690 0.509 0.761
O: 0.690 0.991 0.261
O: 0.764 0.210 0.537
O: 0.764 0.290 0.037
O: 0.830 0.727 0.539
O: 0.830 0.773 0.039


Compound: CoIr2W
Source: Alexandria
Functional: PBE-GGA
Structure: relaxed

Results
- formation enthalpy at 0 K (meV/atom) = -7.4
- size of the total moment (μB per cell) = 1.66
- DOS(E_F) (states/eV per atom) = 1.265
- E above lowest polymorph (meV/atom) = 207
- total DFT energy (no corrections) (eV per atom) = -9.453

Cell: 8.818 8.818 8.818 Å, 17.98 17.98 17.98°
Fractional coordinates of all 4 atoms:
Co: 0.000 0.000 0.000
Ir: 0.252 0.252 0.252
Ir: 0.748 0.748 0.748
W: 0.500 0.500 0.500


Compound: BeReOs2
Source: Alexandria
Functional: PBE-GGA
Structure: relaxed

Results
- formation enthalpy at 0 K (meV/atom) = 185.3
- size of the total moment (μB per cell) = 0.00
- DOS(E_F) (states/eV per atom) = 0.889
- total DFT energy (no corrections) (eV per atom) = -9.473

Cell: 4.472 4.472 4.716 Å, 97.61 97.61 35.66°
Fractional coordinates of all 4 atoms:
Be: 0.000 0.000 0.000
Re: 0.500 0.500 0.500
Os: 0.249 0.249 0.767
Os: 0.751 0.751 0.233


Compound: RbNpCuO5
Source: Alexandria
Functional: PBE-GGA
Structure: relaxed

Results
- size of the total moment (μB per cell) = 1.66
- DOS(E_F) (states/eV per atom) = 0.182
- raw formation energy (eV/atom) = -1.885
- total DFT energy (no corrections) (eV per atom) = -7.235

Cell: 6.685 6.685 6.399 Å, 107.99 107.99 100.67°
Fractional coordinates of all 16 atoms:
Rb: 0.091 0.909 0.750
Rb: 0.909 0.091 0.250
Np: 0.000 0.500 0.000
Np: 0.500 0.000 0.500
Cu: 0.451 0.549 0.750
Cu: 0.549 0.451 0.250
O: 0.170 0.830 0.250
O: 0.174 0.534 0.805
O: 0.231 0.394 0.174
O: 0.394 0.231 0.674
O: 0.466 0.826 0.695
O: 0.534 0.174 0.305
O: 0.606 0.769 0.326
O: 0.769 0.606 0.826
O: 0.826 0.466 0.195
O: 0.830 0.170 0.750


Compound: LaBi2Br
Source: Alexandria
Functional: PBE-GGA
Structure: relaxed

Results
- size of the total moment (μB per cell) = 0.00
- DOS(E_F) (states/eV per atom) = 0.742
- raw formation energy (eV/atom) = -0.257
- E above lowest polymorph (meV/atom) = 454
- total DFT energy (no corrections) (eV per atom) = -3.848

Cell: 5.669 5.669 5.669 Å, 60.00 60.00 60.00°
Fractional coordinates of all 4 atoms:
La: 0.000 0.000 0.000
Bi: 0.250 0.250 0.250
Bi: 0.750 0.750 0.750
Br: 0.500 0.500 0.500


Compound: Pr2MnHPd6
Source: Alexandria
Functional: PBE-GGA
Structure: relaxed

Results
- size of the total moment (μB per cell) = 3.92
- DOS(E_F) (states/eV per atom) = 0.337
- total DFT energy (no corrections) (eV per atom) = -5.875

Cell: 6.959 6.959 6.959 Å, 49.09 49.09 49.09°
Fractional coordinates of all 10 atoms:
Pr: 0.225 0.225 0.225
Pr: 0.775 0.775 0.775
Mn: 0.500 0.500 0.500
H: 0.000 0.000 0.000
Pd: 0.229 0.229 0.728
Pd: 0.229 0.728 0.229
Pd: 0.272 0.771 0.771
Pd: 0.728 0.229 0.229
Pd: 0.771 0.272 0.771
Pd: 0.771 0.771 0.272


Compound: CaTlGa2Co
Source: Alexandria
Functional: PBE-GGA
Structure: relaxed

Results
- formation enthalpy at 0 K (meV/atom) = -159.6
- size of the total moment (μB per cell) = 0.00
- DOS(E_F) (states/eV per atom) = 0.826
- total DFT energy (no corrections) (eV per atom) = -3.665

Cell: 4.625 4.625 5.052 Å, 90.00 90.00 90.00°
Fractional coordinates of all 5 atoms:
Ca: 0.000 0.000 0.000
Tl: 0.500 0.500 0.000
Ga: 0.000 0.500 0.500
Ga: 0.500 0.000 0.500
Co: 0.500 0.500 0.500


Compound: CsMg2Pb
Source: Alexandria
Functional: PBE-GGA
Structure: relaxed

Results
- formation enthalpy at 0 K (meV/atom) = 71.8
- size of the total moment (μB per cell) = 0.00
- DOS(E_F) (states/eV per atom) = 0.613
- total DFT energy (no corrections) (eV per atom) = -1.866

Cell: 5.067 5.067 11.892 Å, 90.00 90.00 90.00°
Fractional coordinates of all 8 atoms:
Cs: 0.250 0.250 0.236
Cs: 0.750 0.750 0.764
Mg: 0.250 0.250 0.916
Mg: 0.250 0.750 0.500
Mg: 0.750 0.250 0.500
Mg: 0.750 0.750 0.084
Pb: 0.250 0.250 0.642
Pb: 0.750 0.750 0.358


Compound: TcMoBr3
Source: Alexandria
Functional: PBE-GGA
Structure: relaxed

Results
- size of the total moment (μB per cell) = 8.00
- DOS(E_F) (states/eV per atom) = 0.610
- raw formation energy (eV/atom) = 0.903
- E above lowest polymorph (meV/atom) = 0
- total DFT energy (no corrections) (eV per atom) = -4.340

Cell: 5.197 5.197 5.197 Å, 90.00 90.00 90.00°
Fractional coordinates of all 5 atoms:
Tc: 0.000 0.000 0.000
Mo: 0.500 0.500 0.500
Br: 0.000 0.000 0.500
Br: 0.000 0.500 0.000
Br: 0.500 0.000 0.000


Compound: NaSr2Ag
Source: Alexandria
Functional: PBE-GGA
Structure: relaxed

Results
- formation enthalpy at 0 K (meV/atom) = 55.8
- size of the total moment (μB per cell) = 0.00
- DOS(E_F) (states/eV per atom) = 0.639
- E above lowest polymorph (meV/atom) = 206
- total DFT energy (no corrections) (eV per atom) = -1.828

Cell: 7.620 7.620 7.620 Å, 105.18 105.18 118.44°
Fractional coordinates of all 8 atoms:
Na: 0.000 0.000 0.000
Na: 0.750 0.250 0.500
Sr: 0.173 0.625 0.048
Sr: 0.375 0.423 0.548
Sr: 0.577 0.125 0.952
Sr: 0.875 0.827 0.452
Ag: 0.250 0.750 0.500
Ag: 0.500 0.500 0.000


Compound: ZrBeOs
Source: Alexandria
Functional: PBE-GGA
Structure: relaxed

Results
- formation enthalpy at 0 K (meV/atom) = -247.0
- size of the total moment (μB per cell) = 0.00
- DOS(E_F) (states/eV per atom) = 0.300
- E above lowest polymorph (meV/atom) = 130
- total DFT energy (no corrections) (eV per atom) = -8.082

Cell: 4.029 4.029 3.314 Å, 90.00 90.00 120.00°
Fractional coordinates of all 3 atoms:
Zr: 0.000 0.000 0.000
Be: 0.333 0.667 0.500
Os: 0.667 0.333 0.500


Compound: GdYTlIn
Source: Alexandria
Functional: PBE-GGA
Structure: relaxed

Results
- formation enthalpy at 0 K (meV/atom) = -431.3
- size of the total moment (μB per cell) = 7.29
- DOS(E_F) (states/eV per atom) = 0.801
- total DFT energy (no corrections) (eV per atom) = -6.844

Cell: 5.373 5.373 5.373 Å, 60.00 60.00 60.00°
Fractional coordinates of all 4 atoms:
Gd: 0.000 0.000 0.000
Y: 0.500 0.500 0.500
Tl: 0.250 0.250 0.250
In: 0.750 0.750 0.750


Compound: CaGdDyOs
Source: Alexandria
Functional: PBE-GGA
Structure: relaxed

Results
- formation enthalpy at 0 K (meV/atom) = 104.7
- size of the total moment (μB per cell) = 7.23
- DOS(E_F) (states/eV per atom) = 0.831
- total DFT energy (no corrections) (eV per atom) = -7.874

Cell: 5.135 5.135 5.135 Å, 60.00 60.00 60.00°
Fractional coordinates of all 4 atoms:
Ca: 0.000 0.000 0.000
Gd: 0.250 0.250 0.250
Dy: 0.750 0.750 0.750
Os: 0.500 0.500 0.500


Compound: Ba2ZnAu
Source: Alexandria
Functional: PBE-GGA
Structure: relaxed

Results
- formation enthalpy at 0 K (meV/atom) = -185.3
- size of the total moment (μB per cell) = 0.00
- DOS(E_F) (states/eV per atom) = 0.800
- total DFT energy (no corrections) (eV per atom) = -2.284

Cell: 7.500 7.500 7.500 Å, 107.95 107.95 112.57°
Fractional coordinates of all 8 atoms:
Ba: 0.112 0.625 0.987
Ba: 0.375 0.362 0.487
Ba: 0.638 0.125 0.013
Ba: 0.875 0.888 0.513
Zn: 0.250 0.750 0.500
Zn: 0.500 0.500 0.000
Au: 0.000 0.000 0.000
Au: 0.750 0.250 0.500


Compound: NdSm2ErSb4
Source: Alexandria
Functional: PBE-GGA
Structure: relaxed

Results
- size of the total moment (μB per cell) = 0.00
- DOS(E_F) (states/eV per atom) = 0.131
- raw formation energy (eV/atom) = -1.153
- total DFT energy (no corrections) (eV per atom) = -5.560

Cell: 7.716 4.459 7.719 Å, 90.00 109.49 90.00°
Fractional coordinates of all 8 atoms:
Nd: 0.000 0.000 0.000
Sm: 0.000 0.500 0.500
Sm: 0.500 0.000 0.500
Er: 0.500 0.500 0.000
Sb: 0.255 0.500 0.250
Sb: 0.256 0.000 0.754
Sb: 0.744 0.000 0.246
Sb: 0.745 0.500 0.750


Compound: CsKAsSe2
Source: Alexandria
Functional: PBE-GGA
Structure: relaxed

Results
- size of the total moment (μB per cell) = 5.03
- DOS(E_F) (states/eV per atom) = 1.356
- raw formation energy (eV/atom) = 0.284
- E above lowest polymorph (meV/atom) = 821
- total DFT energy (no corrections) (eV per atom) = -2.429

Cell: 6.169 6.169 6.350 Å, 90.00 90.00 90.00°
Fractional coordinates of all 5 atoms:
Cs: 0.000 0.000 0.000
K: 0.500 0.500 0.500
As: 0.500 0.500 0.000
Se: 0.000 0.500 0.500
Se: 0.500 0.000 0.500


Compound: NdAsPd
Source: Alexandria
Functional: PBE-GGA
Structure: relaxed

Results
- formation enthalpy at 0 K (meV/atom) = -694.8
- size of the total moment (μB per cell) = 0.00
- DOS(E_F) (states/eV per atom) = 0.818
- total DFT energy (no corrections) (eV per atom) = -5.565

Cell: 4.521 4.521 7.763 Å, 90.00 90.00 120.00°
Fractional coordinates of all 6 atoms:
Nd: 0.000 0.000 0.246
Nd: 0.000 0.000 0.754
As: 0.333 0.667 0.500
As: 0.667 0.333 0.500
Pd: 0.333 0.667 0.000
Pd: 0.667 0.333 0.000


Compound: NpInPbBr6
Source: Alexandria
Functional: PBE-GGA
Structure: relaxed

Results
- size of the total moment (μB per cell) = 8.00
- DOS(E_F) (states/eV per atom) = 1.075
- raw formation energy (eV/atom) = -1.042
- total DFT energy (no corrections) (eV per atom) = -4.311

Cell: 7.727 7.727 14.009 Å, 90.00 90.00 120.00°
Fractional coordinates of all 18 atoms:
Np: 0.333 0.667 0.250
Np: 0.667 0.333 0.750
In: 0.000 0.000 0.000
In: 0.000 0.000 0.500
Pb: 0.333 0.667 0.750
Pb: 0.667 0.333 0.250
Br: 0.016 0.367 0.132
Br: 0.016 0.648 0.368
Br: 0.352 0.367 0.368
Br: 0.352 0.984 0.132
Br: 0.367 0.016 0.632
Br: 0.367 0.352 0.868
Br: 0.633 0.648 0.132
Br: 0.633 0.984 0.368
Br: 0.648 0.016 0.868
Br: 0.648 0.633 0.632
Br: 0.984 0.352 0.632
Br: 0.984 0.633 0.868


Compound: Be2TcPt
Source: Alexandria
Functional: PBE-GGA
Structure: relaxed

Results
- formation enthalpy at 0 K (meV/atom) = -283.9
- size of the total moment (μB per cell) = 0.00
- DOS(E_F) (states/eV per atom) = 0.649
- E above lowest polymorph (meV/atom) = 95
- total DFT energy (no corrections) (eV per atom) = -6.249

Cell: 4.585 4.585 4.223 Å, 106.41 106.41 33.54°
Fractional coordinates of all 4 atoms:
Be: 0.000 0.000 0.000
Be: 0.725 0.725 0.337
Tc: 0.481 0.481 0.476
Pt: 0.248 0.248 0.866


Compound: Sm3Zn2Ga
Source: Alexandria
Functional: PBE-GGA
Structure: relaxed

Results
- formation enthalpy at 0 K (meV/atom) = -396.3
- size of the total moment (μB per cell) = 0.00
- DOS(E_F) (states/eV per atom) = 1.256
- E above lowest polymorph (meV/atom) = 4
- total DFT energy (no corrections) (eV per atom) = -3.685

Cell: 3.624 3.624 11.073 Å, 90.00 90.00 90.00°
Fractional coordinates of all 6 atoms:
Sm: 0.000 0.000 0.000
Sm: 0.000 0.000 0.332
Sm: 0.000 0.000 0.668
Zn: 0.500 0.500 0.163
Zn: 0.500 0.500 0.837
Ga: 0.500 0.500 0.500


Compound: YAl2Cu
Source: Alexandria
Functional: PBE-GGA
Structure: relaxed

Results
- formation enthalpy at 0 K (meV/atom) = -376.3
- size of the total moment (μB per cell) = 0.00
- DOS(E_F) (states/eV per atom) = 0.434
- total DFT energy (no corrections) (eV per atom) = -4.888

Cell: 4.154 4.154 5.793 Å, 111.14 111.14 60.08°
Fractional coordinates of all 4 atoms:
Y: 0.000 0.000 0.000
Al: 0.210 0.210 0.630
Al: 0.790 0.790 0.370
Cu: 0.500 0.500 0.500


Compound: Ba2ZnCoAg
Source: Alexandria
Functional: PBE-GGA
Structure: relaxed

Results
- formation enthalpy at 0 K (meV/atom) = 321.6
- size of the total moment (μB per cell) = 0.66
- DOS(E_F) (states/eV per atom) = 1.464
- total DFT energy (no corrections) (eV per atom) = -2.694

Cell: 6.218 6.218 4.541 Å, 90.00 90.00 90.00°
Fractional coordinates of all 5 atoms:
Ba: 0.000 0.500 0.000
Ba: 0.500 0.000 0.000
Zn: 0.000 0.000 0.000
Co: 0.000 0.000 0.500
Ag: 0.500 0.500 0.500


Compound: TcNiP2S
Source: Alexandria
Functional: PBE-GGA
Structure: relaxed

Results
- size of the total moment (μB per cell) = 1.71
- DOS(E_F) (states/eV per atom) = 0.692
- raw formation energy (eV/atom) = 0.848
- E above lowest polymorph (meV/atom) = 0
- total DFT energy (no corrections) (eV per atom) = -5.371

Cell: 4.265 4.265 4.498 Å, 90.00 90.00 90.00°
Fractional coordinates of all 5 atoms:
Tc: 0.000 0.000 0.000
Ni: 0.500 0.500 0.500
P: 0.000 0.500 0.500
P: 0.500 0.000 0.500
S: 0.500 0.500 0.000